VASP calculation (PBE) on crystalline LiPbO3 at its relaxed geometry.

a = 7.313 Å, b = 7.313 Å, c = 5.225 Å
α = 90.00°, β = 90.00°, γ = 153.01°
Fractional positions:
Li1 0.055 0.945 0.500
Li2 0.945 0.055 0.000
Pb1 0.336 0.664 0.511
Pb2 0.664 0.336 0.011
O1 0.078 0.922 0.128
O2 0.263 0.737 0.894
O3 0.397 0.603 0.130
O4 0.603 0.397 0.630
O5 0.737 0.263 0.394
O6 0.922 0.078 0.628

Total energy, eV per atom: -5.04
Total moment, μB/f.u.: 1.02
E_form (uncorrected), meV per atom: -945

---

VASP calculation (PBE) on crystalline ScIr2Pb at its relaxed geometry.

a = 5.268 Å, b = 5.268 Å, c = 5.268 Å
α = 135.47°, β = 135.47°, γ = 64.80°
Fractional positions:
Sc1 0.000 0.000 0.000
Ir1 0.500 0.500 0.000
Ir2 0.750 0.250 0.500
Pb1 0.250 0.750 0.500

Energy relative to the elements, meV/atom: -245.5
Total energy, eV per atom: -7.19
Total moment, μB/f.u.: 0.00
D(E_F), states/eV/cell: 2.2

---

VASP calculation (PBE) on crystalline TlHg3N at its relaxed geometry.

a = 6.050 Å, b = 6.050 Å, c = 6.050 Å
α = 90.00°, β = 90.00°, γ = 90.00°
Fractional positions:
Tl1 0.000 0.000 0.000
Hg1 0.000 0.000 0.500
Hg2 0.000 0.500 0.000
Hg3 0.500 0.000 0.000
N1 0.500 0.500 0.500

Total energy, eV per atom: -1.21
Total moment, μB/f.u.: 2.53
D(E_F), states/eV/cell: 3.8
E_form (uncorrected), meV per atom: 1111
Energy relative to the lowest polymorph listed for this composition, eV per atom: 0.619

---

VASP calculation (PBE) on crystalline InSiS4 at its relaxed geometry.

a = 7.520 Å, b = 7.520 Å, c = 6.199 Å
α = 113.71°, β = 113.71°, γ = 26.25°
Fractional positions:
In1 0.000 0.000 0.000
Si1 0.500 0.500 0.500
S1 0.103 0.103 0.743
S2 0.391 0.391 0.681
S3 0.609 0.609 0.319
S4 0.897 0.897 0.257

Total energy, eV per atom: -4.42
Total moment, μB/f.u.: 0.00
D(E_F), states/eV/cell: 4.0
E_form (uncorrected), meV per atom: -304

---

VASP calculation (PBE) on crystalline Sr2TcTeN at its relaxed geometry.

a = 5.574 Å, b = 5.574 Å, c = 3.935 Å
α = 90.00°, β = 90.00°, γ = 90.00°
Fractional positions:
Sr1 0.000 0.500 0.000
Sr2 0.500 0.000 0.000
Tc1 0.000 0.000 0.500
Te1 0.500 0.500 0.500
N1 0.000 0.000 0.000

Total energy, eV per atom: -5.66
Total moment, μB/f.u.: 1.53
D(E_F), states/eV/cell: 2.0
E_form (uncorrected), meV per atom: -625

---

VASP calculation (PBE) on crystalline AgPbF6 at its relaxed geometry.

a = 5.433 Å, b = 5.540 Å, c = 5.879 Å
α = 64.02°, β = 89.53°, γ = 61.97°
Fractional positions:
Ag1 0.000 0.000 0.000
Pb1 0.500 0.000 0.500
F1 0.117 0.125 0.258
F2 0.251 0.142 0.753
F3 0.411 0.451 0.273
F4 0.589 0.549 0.727
F5 0.749 0.858 0.247
F6 0.883 0.875 0.742

Total energy, eV per atom: -3.83
Total moment, μB/f.u.: 0.98
D(E_F), states/eV/cell: 0.0
E_form (uncorrected), meV per atom: -1610

---

VASP calculation (PBE) on crystalline Nd4Cd2InHg at its relaxed geometry.

a = 9.451 Å, b = 9.451 Å, c = 9.451 Å
α = 33.55°, β = 33.55°, γ = 33.55°
Fractional positions:
Nd1 0.124 0.124 0.124
Nd2 0.374 0.374 0.374
Nd3 0.626 0.626 0.626
Nd4 0.876 0.876 0.876
Cd1 0.248 0.248 0.248
Cd2 0.752 0.752 0.752
In1 0.500 0.500 0.500
Hg1 0.000 0.000 0.000

Energy relative to the elements, meV/atom: -398.1
Total energy, eV per atom: -3.39
Total moment, μB/f.u.: 1.53
D(E_F), states/eV/cell: 10.1

---

VASP calculation (PBE) on crystalline ScBi2H2Pd7 at its relaxed geometry.

a = 4.062 Å, b = 4.062 Å, c = 11.722 Å
α = 99.94°, β = 99.94°, γ = 89.97°
Fractional positions:
Sc1 0.000 0.000 0.000
Bi1 0.195 0.195 0.394
Bi2 0.805 0.805 0.606
H1 0.415 0.415 0.828
H2 0.585 0.585 0.172
Pd1 0.087 0.587 0.175
Pd2 0.323 0.323 0.645
Pd3 0.413 0.913 0.825
Pd4 0.500 0.500 0.000
Pd5 0.587 0.087 0.175
Pd6 0.677 0.677 0.355
Pd7 0.913 0.413 0.825

Total energy, eV per atom: -5.20
Total moment, μB/f.u.: 0.00
D(E_F), states/eV/cell: 4.1

---

VASP calculation (PBE) on crystalline La3Er2Hg3 at its relaxed geometry.

a = 11.867 Å, b = 11.867 Å, c = 11.867 Å
α = 161.60°, β = 152.91°, γ = 32.95°
Fractional positions:
La1 0.000 0.000 0.000
La2 0.377 0.877 0.500
La3 0.623 0.123 0.500
Er1 0.235 0.235 0.000
Er2 0.765 0.765 0.000
Hg1 0.127 0.627 0.500
Hg2 0.500 0.500 0.000
Hg3 0.873 0.373 0.500

Energy relative to the elements, meV/atom: -366.4
Total energy, eV per atom: -3.47
Total moment, μB/f.u.: 0.02
D(E_F), states/eV/cell: 10.4